Entry 1:
Computed, not measured: a relaxed structure of Y3ScPb at the PBEsol level of DFT.

Cell lengths 5.3435, 5.3435, 5.3435 Å; angles 90.00, 90.00, 90.00 degrees
With the nearest neighbours (Å) after each atom.
Fractional positions:
Pb: 0.5000 0.5000 0.5000  12 Y 3.78
Y: 0.0000 0.0000 0.5000  2 Sc 2.67
Y: 0.0000 0.5000 0.0000  2 Sc 2.67
Y: 0.5000 0.0000 0.0000  2 Sc 2.67
Sc: 0.0000 0.0000 0.0000  6 Y 2.67

Formation energy = 0.536 eV/atom

***

Entry 2:
Computed, not measured: a relaxed structure of ScZnPb2 at the PBEsol level of DFT.

Cell lengths 3.2410, 4.4509, 6.5777 Å; angles 90.00, 90.25, 90.00 degrees
With the nearest neighbours (Å) after each atom.
Fractional positions:
Pb: 0.9949 0.0000 0.7573  2 Zn 2.80
Sc: 0.5000 0.5000 0.0000  8 Pb 3.18-3.19, 2 Sc 3.24
Zn: 0.0000 0.5000 0.5000  4 Pb 2.80
Pb: 0.0051 0.0000 0.2427  2 Zn 2.80

Formation energy = -0.034 eV/atom

***

Entry 3:
Computed, not measured: a relaxed structure of ScZn2Pb at the PBEsol level of DFT.

Cell lengths 3.3537, 4.2579, 5.6472 Å; angles 90.00, 101.16, 90.00 degrees
With the nearest neighbours (Å) after each atom.
Fractional positions:
Sc: 0.2412 0.5000 0.7982  7 Zn 2.88-3.15, 2 Pb 3.10
Pb: 0.5385 0.0000 0.4724  6 Zn 2.89-3.13, 2 Sc 3.10
Zn: 0.8213 0.0000 0.9914  2 Zn 2.53
Zn: 0.8990 0.5000 0.2380  2 Zn 2.53

Formation energy = -0.114 eV/atom

***

Entry 4:
Computed, not measured: a relaxed structure of ScZnPb2 at the PBEsol level of DFT.

Cell lengths 3.4949, 4.2859, 6.1859 Å; angles 90.00, 90.00, 90.00 degrees
With the nearest neighbours (Å) after each atom.
Fractional positions:
Zn: 0.5000 0.5000 0.7432  5 Pb 2.85-3.12, 4 Sc 3.15
Pb: 0.0000 0.0000 0.9762  2 Sc 2.95-3.23, 4 Zn 3.12
Sc: 0.0000 0.0000 0.4987  6 Pb 2.95-3.23, 4 Zn 3.15
Pb: 0.5000 0.5000 0.2819  1 Zn 2.85, 4 Sc 3.07

Formation energy = -0.091 eV/atom

***

Entry 5:
Computed, not measured: a relaxed structure of Sc2Zn2Pb at the PBEsol level of DFT.

Cell lengths 4.1229, 6.8858, 6.8858 Å; angles 90.00, 90.00, 90.00 degrees
With the nearest neighbours (Å) after each atom.
Fractional positions:
Zn: 0.0000 0.8768 0.6232  1 Zn 2.40
Sc: 0.5000 0.6673 0.8327  6 Zn 2.89-2.90
Zn: 0.0000 0.6232 0.1232  1 Zn 2.40
Zn: 0.0000 0.3768 0.8768  1 Zn 2.40
Zn: 0.0000 0.1232 0.3768  1 Zn 2.40
Sc: 0.5000 0.1673 0.6673  6 Zn 2.89-2.90
Pb: 0.0000 0.0000 0.0000  4 Zn 2.73
Pb: 0.0000 0.5000 0.5000  4 Zn 2.73
Sc: 0.5000 0.3327 0.1673  6 Zn 2.89-2.90
Sc: 0.5000 0.8327 0.3327  6 Zn 2.89-2.90

Formation energy = -0.352 eV/atom

***

Entry 6:
Computed, not measured: a relaxed structure of ScZn2Pb at the PBEsol level of DFT.

Cell lengths 4.1755, 4.1755, 5.3240 Å; angles 113.09, 113.09, 90.00 degrees
With the nearest neighbours (Å) after each atom.
Fractional positions:
Zn: 0.2500 0.7500 0.5000  4 Zn 2.95, 4 Sc 3.04, 4 Pb 3.04
Zn: 0.7500 0.2500 0.5000  4 Zn 2.95, 4 Sc 3.04, 4 Pb 3.04
Pb: 0.0000 0.0000 0.0000  4 Sc 2.95, 8 Zn 3.04
Sc: 0.5000 0.5000 0.0000  4 Pb 2.95, 8 Zn 3.04

Formation energy = -0.144 eV/atom

***

Entry 7:
Computed, not measured: a relaxed structure of ScZn2Pb at the PBEsol level of DFT.

Cell lengths 4.1831, 4.1831, 4.2697 Å; angles 90.00, 90.00, 90.00 degrees
With the nearest neighbours (Å) after each atom.
Fractional positions:
Pb: 0.0000 0.0000 0.5000  4 Sc 2.96, 8 Zn 2.99
Sc: 0.5000 0.5000 0.5000  4 Pb 2.96, 8 Zn 2.99
Zn: 0.0000 0.5000 0.0000  4 Zn 2.96, 4 Pb 2.99, 4 Sc 2.99
Zn: 0.5000 0.0000 0.0000  4 Zn 2.96, 4 Sc 2.99, 4 Pb 2.99

Formation energy = -0.251 eV/atom

***

Entry 8:
Computed, not measured: a relaxed structure of ZrSc2Pb at the PBEsol level of DFT.

Cell lengths 3.3819, 5.1682, 6.0315 Å; angles 115.37, 106.28, 90.00 degrees
With the nearest neighbours (Å) after each atom.
Fractional positions:
Zr: 0.5000 0.0000 0.0000  4 Pb 3.09, 4 Sc 3.11, 2 Zr 3.38
Pb: 0.0000 0.5000 0.0000  4 Sc 3.07, 4 Zr 3.09, 2 Pb 3.38
Sc: 0.2523 0.2523 0.5045  2 Pb 3.07, 6 Sc 3.09-3.38, 2 Zr 3.11
Sc: 0.7477 0.7477 0.4955  2 Pb 3.07, 6 Sc 3.09-3.38, 2 Zr 3.11

Formation energy = -0.168 eV/atom

***

Entry 9:
Computed, not measured: a relaxed structure of ZrSc2Pb at the PBEsol level of DFT.

Cell lengths 3.1839, 3.1839, 11.0528 Å; angles 81.72, 81.72, 60.00 degrees
With the nearest neighbours (Å) after each atom.
Fractional positions:
Zr: 0.0000 0.0000 0.0000  2 Sc 2.93, 6 Zr 3.18
Sc: 0.0895 0.0895 0.7314  1 Zr 2.93, 3 Pb 3.12, 6 Sc 3.18
Pb: 0.5000 0.5000 0.5000  6 Sc 3.12, 6 Pb 3.18
Sc: 0.9105 0.9105 0.2686  1 Zr 2.93, 3 Pb 3.12, 6 Sc 3.18

Formation energy = 0.173 eV/atom

***

Entry 10:
Computed, not measured: a relaxed structure of ZrSc2Pb at the PBEsol level of DFT.

Cell lengths 4.3111, 4.3111, 5.6783 Å; angles 112.31, 112.31, 90.00 degrees
With the nearest neighbours (Å) after each atom.
Fractional positions:
Sc: 0.0000 0.0000 0.0000  4 Zr 3.05, 4 Pb 3.22, 4 Sc 3.22
Zr: 0.5000 0.5000 0.0000  8 Sc 3.05-3.22, 4 Pb 3.22
Sc: 0.7500 0.2500 0.5000  4 Pb 3.05, 4 Zr 3.22, 4 Sc 3.22
Pb: 0.2500 0.7500 0.5000  8 Sc 3.05-3.22, 4 Zr 3.22

Formation energy = -0.278 eV/atom

***

Entry 11:
Computed, not measured: a relaxed structure of ZrScPb at the PBEsol level of DFT.

Cell lengths 4.7919, 4.7919, 4.7919 Å; angles 60.00, 60.00, 60.00 degrees
With the nearest neighbours (Å) after each atom.
Fractional positions:
Pb: 0.2500 0.2500 0.2500  4 Zr 2.93, 4 Sc 2.93
Zr: 0.5000 0.5000 0.5000  4 Pb 2.93
Sc: 0.0000 0.0000 0.0000  4 Pb 2.93

E above lowest polymorph = 0.316 eV/atom
Formation energy = 0.052 eV/atom

***

Entry 12:
Computed, not measured: a relaxed structure of ZrScPb at the PBEsol level of DFT.

Cell lengths 3.4085, 3.9523, 5.6499 Å; angles 110.47, 107.56, 90.00 degrees
With the nearest neighbours (Å) after each atom.
Fractional positions:
Sc: 0.6647 0.6647 0.3294  5 Pb 3.08-3.37, 5 Zr 3.11-3.31, 2 Sc 3.41
Pb: 0.0010 0.0010 0.0020  5 Sc 3.08-3.37, 5 Zr 3.10-3.34, 2 Pb 3.41
Zr: 0.3343 0.3343 0.6685  5 Pb 3.10-3.34, 5 Sc 3.11-3.31, 2 Zr 3.41

E above lowest polymorph = 0.000 eV/atom
Formation energy = -0.264 eV/atom